Entry 1:
Material: Na6SeBr2Cl2
Method: DFT, PBE-GGA
State: optimized geometry

Unit cell a=7.2846 b=7.2846 c=7.4345 alpha=101.53 beta=101.53 gamma=118.03
Last column: nearest neighbours and their distance in Å.
Sites, in units of the cell vectors:
Na 0.0421 0.3947 0.2136  1 Cl 2.76, 1 Se 2.83, 1 Br 2.97
Na 0.2279 0.2279 0.7844  1 Se 2.76, 2 Cl 2.82, 2 Br 3.09
Na 0.3947 0.0421 0.2136  1 Cl 2.76, 1 Se 2.83, 1 Br 2.97
Na 0.6053 0.9579 0.7864  1 Cl 2.76, 1 Se 2.83, 1 Br 2.97
Na 0.7721 0.7721 0.2156  1 Se 2.76, 2 Cl 2.82, 2 Br 3.09
Na 0.9579 0.6053 0.7864  1 Cl 2.76, 1 Se 2.83, 1 Br 2.97
Se 0.0000 0.0000 0.0000  6 Na 2.76-2.83
Br 0.1782 0.8218 0.5000  6 Na 2.97-3.15
Br 0.8218 0.1782 0.5000  6 Na 2.97-3.15
Cl 0.3446 0.6554 0.0000  4 Na 2.76-2.82
Cl 0.6554 0.3446 0.0000  4 Na 2.76-2.82

Results
Total magnetization = 0.01 μB/atom
Crystal system = monoclinic
Mass density = 2.3 g/cm3
Energy = -3.1254 eV/atom



Entry 2:
Material: NaSnBrCl2
Method: DFT, PBE-GGA
State: optimized geometry

Unit cell a=7.0718 b=5.1771 c=9.4059 alpha=90.00 beta=91.73 gamma=90.00
Last column: nearest neighbours and their distance in Å.
Sites, in units of the cell vectors:
Na 0.0871 0.2500 0.1502  4 Cl 2.76-2.86, 1 Br 2.91
Na 0.9129 0.7500 0.8498  4 Cl 2.76-2.86, 1 Br 2.91
Sn 0.2585 0.2500 0.5986  4 Cl 2.84-2.89, 1 Br 2.99
Sn 0.7415 0.7500 0.4014  4 Cl 2.84-2.89, 1 Br 2.99
Br 0.4412 0.2500 0.3158  1 Na 2.91, 1 Sn 2.99
Br 0.5588 0.7500 0.6842  1 Na 2.91, 1 Sn 2.99
Cl 0.0613 0.2500 0.8566  3 Na 2.76-2.79, 1 Sn 2.84
Cl 0.0825 0.7500 0.5778  1 Na 2.86, 3 Sn 2.88-2.89, 2 Cl 3.18
Cl 0.9175 0.2500 0.4222  1 Na 2.86, 3 Sn 2.88-2.89, 2 Cl 3.18
Cl 0.9387 0.7500 0.1434  3 Na 2.76-2.79, 1 Sn 2.84

Results
Total magnetization = 0.00 μB/atom
Crystal system = monoclinic
Mass density = 2.8 g/cm3
Energy = -3.3386 eV/atom